# 1
This record from Alexandria describes Tl2Sb at its PBEsol-relaxed geometry. The functional is meta-GGA SCAN.

Structure (POSCAR):
```
Tl2Sb
1.0
3.291 0.000 0.000
0.000 4.288 0.000
-1.645 -2.144 6.160
Sb Tl
1 2
Direct
0.000 0.000 0.000 Sb
0.342 0.342 0.684 Tl
0.658 0.658 0.316 Tl
```

Values from the calculation:
- distance to the lowest polymorph of the same formula (meV/atom) = 18
- DOS(E_F) (states/eV/cell) = 1.3
- space-group type = Immm
- total magnetic moment (Bohr magnetons per cell) = 0.00
- volume (A^3/atom) = 28.97
- uncorrected formation energy (meV per atom) = 19


# 2
This record from Alexandria describes CsTeF2 at its PBEsol-relaxed geometry. The functional is meta-GGA SCAN.

Structure (POSCAR):
```
CsTeF2
1.0
-5.728 -2.622 0.272
2.330 0.812 5.803
-0.301 5.674 -2.735
Cs Te F
2 2 4
Direct
0.500 0.750 0.250 Cs
0.000 0.000 0.000 Cs
0.500 0.250 0.750 Te
0.000 0.500 0.500 Te
0.945 0.570 0.125 F
0.055 0.180 0.625 F
0.445 0.875 0.820 F
0.555 0.375 0.430 F
```

Values from the calculation:
- DOS(E_F) (states/eV/cell) = 6.1
- space-group type = I-42d
- total magnetic moment (Bohr magnetons per cell) = 0.00
- volume (A^3/atom) = 24.10
- uncorrected formation energy (meV per atom) = -1431


# 3
This record from Alexandria describes KTlRe at its PBEsol-relaxed geometry. The functional is meta-GGA SCAN.

Structure (POSCAR):
```
KTlRe
1.0
3.626 0.000 0.000
0.000 3.626 0.000
-1.813 -1.813 6.123
K Re Tl
1 1 1
Direct
0.002 0.002 0.005 K
0.718 0.718 0.435 Re
0.280 0.280 0.560 Tl
```

Values from the calculation:
- DOS(E_F) (states/eV/cell) = 1.3
- space-group type = I4mm
- total magnetic moment (Bohr magnetons per cell) = 1.18
- ΔE_f (eV/f.u.) = 3.75
- volume (A^3/atom) = 26.83


# 4
This record from Alexandria describes TlSn at its PBEsol-relaxed geometry. The functional is meta-GGA SCAN.

Structure (POSCAR):
```
TlSn
1.0
3.340 -0.008 0.285
1.651 2.904 0.285
1.130 0.656 5.723
Tl Sn
1 1
Direct
0.751 0.751 0.250 Tl
0.249 0.249 0.750 Sn
```

Values from the calculation:
- DOS(E_F) (states/eV/cell) = 0.9
- space-group type = Cm
- total magnetic moment (Bohr magnetons per cell) = 0.00
- ΔE_f (eV/f.u.) = 0.25
- volume (A^3/atom) = 27.16